Record 1
DFT (PBE) results for an optimized crystal structure of ErHfTh2.

Properties
- E_tot: -114.773 eV for the cell shown
- Energy relative to the elements: 165.7 meV per atom

Cell: 7.727 7.727 7.727 Å, 90.00 90.00 90.00°
Space group Fm-3m (No. 225)
Inequivalent atoms, fractional coordinates:
1 Er 0.000 0.000 0.000 (multiplicity 4)
2 Hf 0.000 0.000 0.500 (multiplicity 4)
3 Th 0.250 0.250 0.250 (multiplicity 8)

Record 2
DFT (PBE) results for an optimized crystal structure of ErHfTh.

Properties
- E_tot: -21.486 eV for the cell shown
- Energy relative to the elements: 150.0 meV per atom

Cell: 5.3694 5.3694 3.4071 Å, 90.00 90.00 120.00°
Space group P3m1 (No. 156)
Inequivalent atoms, fractional coordinates:
1 Er 0.0000 0.0000 0.0000 (multiplicity 1)
2 Hf 0.3333 0.6667 0.9977 (multiplicity 1)
3 Th 0.6667 0.3333 0.4988 (multiplicity 1)

Record 3
DFT (PBE) results for an optimized crystal structure of ErHf2Th.

Properties
- E_tot: -31.147 eV for the cell shown
- Energy relative to the elements: 185.7 meV per atom

Cell: 3.924 3.924 6.914 Å, 90.00 90.00 90.00°
Space group P4/mmm (No. 123)
Inequivalent atoms, fractional coordinates:
1 Er 0.000 0.000 0.000 (multiplicity 1)
2 Hf 0.500 0.500 0.276 (multiplicity 2)
3 Th 0.000 0.000 0.500 (multiplicity 1)

Record 4
DFT (PBE) results for an optimized crystal structure of ErHfTh.

Properties
- E_tot: -42.533 eV for the cell shown
- Energy relative to the elements: 223.2 meV per atom

Cell: 3.362 4.849 10.539 Å, 90.00 99.08 90.00°
Space group P2_1/m (No. 11)
Inequivalent atoms, fractional coordinates:
1 Er 0.136 0.250 0.270 (multiplicity 2)
2 Hf 0.284 0.250 0.569 (multiplicity 2)
3 Th 0.450 0.250 0.905 (multiplicity 2)

Record 5
DFT (PBE) results for an optimized crystal structure of ErTmHfTh.

Properties
- E_tot: -102.558 eV for the cell shown
- Energy relative to the elements: 192.0 meV per atom

Cell: 7.679 7.679 7.679 Å, 90.00 90.00 90.00°
Space group F-43m (No. 216)
Inequivalent atoms, fractional coordinates:
1 Er 0.000 0.000 0.000 (multiplicity 4)
2 Tm 0.250 0.250 0.250 (multiplicity 4)
3 Hf 0.250 0.250 0.750 (multiplicity 4)
4 Th 0.000 0.000 0.500 (multiplicity 4)

Record 6
DFT (PBE) results for an optimized crystal structure of YErHfTh.

Properties
- E_tot: -110.302 eV for the cell shown
- Energy relative to the elements: 206.2 meV per atom

Cell: 7.722 7.722 7.722 Å, 90.00 90.00 90.00°
Space group F-43m (No. 216)
Inequivalent atoms, fractional coordinates:
1 Y 0.000 0.000 0.000 (multiplicity 4)
2 Er 0.250 0.250 0.750 (multiplicity 4)
3 Hf 0.250 0.250 0.250 (multiplicity 4)
4 Th 0.000 0.000 0.500 (multiplicity 4)